No. 1
NpCrP2Os, relaxed, DFT PBE; energy relative to the elements = -0.5166 eV/atom; calculated density = 11.59 g cm⁻³; space group = No. 119
1.0
-2.000 2.000 4.848
2.000 -2.000 4.848
2.000 2.000 -4.848
Np Cr P Os
1 1 2 1
direct
0.000 0.000 0.000
0.750 0.250 0.500
0.376 0.376 0.000
0.624 0.624 0.000
0.250 0.750 0.500


No. 2
La2NiBr2, relaxed, DFT PBE; uncorrected formation energy = -1.15 eV per atom; calculated density = 4.92 g cm⁻³; space group = No. 166
1.0
2.100 1.213 10.962
-2.100 1.213 10.962
0.000 -2.425 10.962
La Ni Br
2 1 2
direct
0.117 0.117 0.117
0.883 0.883 0.883
0.500 0.500 0.500
0.391 0.391 0.391
0.609 0.609 0.609


No. 3
Pm2GaPt, relaxed, DFT PBE; energy relative to the elements = -0.8694 eV/atom; calculated density = 9.25 g cm⁻³; space group = No. 11
1.0
6.029 0.000 0.000
0.000 4.389 0.000
-2.811 0.000 7.531
Pm Ga Pt
4 2 2
direct
0.182 0.250 0.411
0.277 0.750 0.062
0.723 0.250 0.938
0.818 0.750 0.589
0.376 0.750 0.702
0.624 0.250 0.298
0.147 0.250 0.790
0.853 0.750 0.210


No. 4
Nb2TcPd, relaxed, DFT PBE; energy relative to the elements = -0.1846 eV/atom; calculated density = 9.70 g cm⁻³; space group = No. 123
1.0
3.204 0.000 0.000
0.000 3.204 0.000
0.000 0.000 6.509
Nb Tc Pd
2 1 1
direct
0.000 0.000 0.236
0.000 0.000 0.764
0.500 0.500 0.000
0.500 0.500 0.500


Calculated total energy (computed, eV per formula unit): -47.197; -24.712; -22.047; -36.437
DOS at the Fermi energy (computed, states/eV/f.u.): 9.8; 3.0; 3.5; 3.6